# TaCd2Ir, relaxed, DFT PBE
# **Crystal system**: monoclinic
# **Energy**: -5.7345 eV per atom
# **Theoretical density**: 13.16 Mg/m³
# **Total moment**: 0.00 μB per formula unit
# **V**: 18.9 A^3/atom
# **Formation energy**: -9.51 kJ per mole of atoms
data_TaCd2Ir
_cell_length_a 3.086
_cell_length_b 3.086
_cell_length_c 7.921
_cell_angle_alpha 90.00
_cell_angle_beta 90.15
_cell_angle_gamma 90.00
_space_group_name_H-M_alt 'P 1 m 1'
_space_group_IT_number 6
_space_group_name_Hall 'P -2y'
loop_
_atom_site_label
_atom_site_type_symbol
_atom_site_fract_x
_atom_site_fract_y
_atom_site_fract_z
_atom_site_occupancy
Ta1 Ta 0.000 0.000 0.000 1
Cd1 Cd 0.001 0.000 0.445 1
Cd2 Cd 0.498 0.500 0.729 1
Ir1 Ir 0.501 0.500 0.189 1


# TaCd2Ir, relaxed, DFT PBE
# **Crystal system**: orthorhombic
# **Energy**: -5.2896 eV per atom
# **Theoretical density**: 13.63 Mg/m³
# **Total moment**: 0.00 μB per formula unit
# **V**: 18.2 A^3/atom
# **Formation energy**: 33.42 kJ per mole of atoms
data_TaCd2Ir
_cell_length_a 3.124
_cell_length_b 4.789
_cell_length_c 9.735
_cell_angle_alpha 90.00
_cell_angle_beta 90.00
_cell_angle_gamma 90.00
_space_group_name_H-M_alt 'C m m m'
_space_group_IT_number 65
_space_group_name_Hall '-C 2 2'
loop_
_atom_site_label
_atom_site_type_symbol
_atom_site_fract_x
_atom_site_fract_y
_atom_site_fract_z
_atom_site_occupancy
Ta1 Ta 0.000 0.000 0.000 1
Cd1 Cd 0.000 0.500 0.262 1
Ir1 Ir 0.000 0.000 0.500 1


# TaCd2Ir, relaxed, DFT PBE
# **Crystal system**: orthorhombic
# **Energy**: -5.3336 eV per atom
# **Theoretical density**: 13.61 Mg/m³
# **Total moment**: 0.00 μB per formula unit
# **V**: 18.2 A^3/atom
# **Formation energy**: 29.17 kJ per mole of atoms
data_TaCd2Ir
_cell_length_a 5.446
_cell_length_b 9.254
_cell_length_c 2.896
_cell_angle_alpha 90.00
_cell_angle_beta 90.00
_cell_angle_gamma 90.00
_space_group_name_H-M_alt 'C m m m'
_space_group_IT_number 65
_space_group_name_Hall '-C 2 2'
loop_
_atom_site_label
_atom_site_type_symbol
_atom_site_fract_x
_atom_site_fract_y
_atom_site_fract_z
_atom_site_occupancy
Ta1 Ta 0.000 0.000 0.000 1
Cd1 Cd 0.250 0.250 0.500 1
Ir1 Ir 0.000 0.500 0.000 1


# TaCdIr2, relaxed, DFT PBE
# **Crystal system**: cubic
# **Energy**: -7.3812 eV per atom
# **Theoretical density**: 16.90 Mg/m³
# **Total moment**: 0.00 μB per formula unit
# **V**: 16.6 A^3/atom
# **Formation energy**: 23.28 kJ per mole of atoms
data_TaCdIr2
_cell_length_a 6.434
_cell_length_b 6.434
_cell_length_c 6.434
_cell_angle_alpha 90.00
_cell_angle_beta 90.00
_cell_angle_gamma 90.00
_space_group_name_H-M_alt 'F -4 3 m'
_space_group_IT_number 216
_space_group_name_Hall 'F -4 2 3'
loop_
_atom_site_label
_atom_site_type_symbol
_atom_site_fract_x
_atom_site_fract_y
_atom_site_fract_z
_atom_site_occupancy
Ta1 Ta 0.000 0.000 0.000 1
Cd1 Cd 0.250 0.250 0.750 1
Ir1 Ir 0.000 0.000 0.500 1
Ir2 Ir 0.250 0.250 0.250 1


# TaCd2Ir, relaxed, DFT PBE
# **Crystal system**: cubic
# **Energy**: -5.1866 eV per atom
# **Theoretical density**: 14.01 Mg/m³
# **Total moment**: 0.00 μB per formula unit
# **V**: 17.7 A^3/atom
# **Formation energy**: 43.36 kJ per mole of atoms
data_TaCd2Ir
_cell_length_a 6.570
_cell_length_b 6.570
_cell_length_c 6.570
_cell_angle_alpha 90.00
_cell_angle_beta 90.00
_cell_angle_gamma 90.00
_space_group_name_H-M_alt 'F m -3 m'
_space_group_IT_number 225
_space_group_name_Hall '-F 4 2 3'
loop_
_atom_site_label
_atom_site_type_symbol
_atom_site_fract_x
_atom_site_fract_y
_atom_site_fract_z
_atom_site_occupancy
Ta1 Ta 0.000 0.000 0.000 1
Cd1 Cd 0.250 0.250 0.250 1
Ir1 Ir 0.000 0.000 0.500 1


# TaCdIr2, relaxed, DFT PBE
# **Crystal system**: monoclinic
# **Energy**: -7.7426 eV per atom
# **Theoretical density**: 16.81 Mg/m³
# **Total moment**: 0.00 μB per formula unit
# **V**: 16.7 A^3/atom
# **Formation energy**: -11.60 kJ per mole of atoms
data_TaCdIr2
_cell_length_a 9.903
_cell_length_b 2.830
_cell_length_c 4.886
_cell_angle_alpha 90.00
_cell_angle_beta 102.01
_cell_angle_gamma 90.00
_space_group_name_H-M_alt 'C 1 m 1'
_space_group_IT_number 8
_space_group_name_Hall 'C -2y'
loop_
_atom_site_label
_atom_site_type_symbol
_atom_site_fract_x
_atom_site_fract_y
_atom_site_fract_z
_atom_site_occupancy
Ta1 Ta 0.000 0.000 0.000 1
Cd1 Cd 0.281 0.500 0.336 1
Ir1 Ir 0.035 0.500 0.520 1
Ir2 Ir 0.246 0.000 0.826 1


Among the records above, which one has the highest formation energy? number 5


The highest formation energy belongs to which entry? number 5


What is the V in the sixth record? 16.7 A^3/atom